First-principles (GGA-PBE) data for a geometry-optimized Pr2Gd2I5N structure, as listed in OQMD.

- space group = C2/m
- crystal system = monoclinic

```
Pr2Gd2I5N
1.0
9.678 -2.012 0.000
9.678 2.012 0.000
-1.927 0.000 8.594
Gd I N Pr
2 5 1 2
Cartesian
11.987 0.000 0.530 Gd
5.443 0.000 8.064 Gd
15.739 0.000 1.458 I
2.578 0.000 2.866 I
8.715 0.000 4.297 I
14.852 0.000 5.728 I
1.691 0.000 7.136 I
9.678 0.000 0.000 N
18.966 0.000 1.669 Pr
-1.536 0.000 6.925 Pr
```



First-principles (GGA-PBE) data for a geometry-optimized Gd4SeIN2 structure, as listed in OQMD.

- space group = P-6m2
- crystal system = hexagonal

```
Gd4SeIN2
1.0
3.692 0.000 0.000
-1.846 3.198 0.000
0.000 0.000 13.967
Gd I N Se
4 1 2 1
Cartesian
1.846 1.066 2.407 Gd
0.000 0.000 4.973 Gd
0.000 0.000 8.994 Gd
1.846 1.066 11.560 Gd
0.000 0.000 0.000 I
0.000 2.132 3.670 N
0.000 2.132 10.297 N
1.846 1.066 6.983 Se
```



First-principles (GGA-PBE) data for a geometry-optimized SmGdI2N structure, as listed in OQMD.

- space group = P3m1
- crystal system = trigonal

```
SmGdI2N
1.0
3.834 0.000 0.000
-1.917 3.320 0.000
0.000 0.000 10.970
Gd I N Sm
1 2 1 1
Cartesian
0.000 0.000 4.188 Gd
0.000 2.213 2.013 I
0.000 0.000 9.003 I
1.917 1.107 5.434 N
0.000 2.213 6.788 Sm
```



no.,calculated total energy (eV/atom)
1,-4.8030
2,-6.5019
3,-5.5288